A plane-wave DFT calculation with PBE+U was carried out for Mn2NbCoO6 after structural relaxation.

a b c (Å): 5.177 5.269 5.584
angles (deg): 116.55 90.32 117.97
Atoms (fractional coordinates):
Mn1 0.000 0.000 0.000
Mn2 0.497 0.988 0.481
Nb1 0.796 0.573 0.378
Co1 0.288 0.553 0.844
O1 0.058 0.483 0.160
O2 0.198 0.071 0.662
O3 0.426 0.131 0.214
O4 0.588 0.793 0.672
O5 0.683 0.777 0.198
O6 0.905 0.495 0.672

Values from the calculation:
Calculated total energy: -7.81 eV per atom